Record 1
VASP calculation (PBE) on LiZn5Ru2 after structural relaxation.

Unit cell a=5.748 b=5.748 c=6.672 alpha=90.00 beta=90.00 gamma=90.00
Fractional positions:
1 Li 0.000 0.000 0.000
2 Li 0.500 0.500 0.500
3 Zn 0.000 0.000 0.500
4 Zn 0.250 0.250 0.250
5 Zn 0.250 0.250 0.750
6 Zn 0.250 0.750 0.250
7 Zn 0.250 0.750 0.750
8 Zn 0.500 0.500 0.000
9 Zn 0.750 0.250 0.250
10 Zn 0.750 0.250 0.750
11 Zn 0.750 0.750 0.250
12 Zn 0.750 0.750 0.750
13 Ru 0.000 0.500 0.000
14 Ru 0.000 0.500 0.500
15 Ru 0.500 0.000 0.000
16 Ru 0.500 0.000 0.500

Properties
VASP energy	-3.50	eV per atom
DOS(E_F)	2.77	states/eV/f.u.
space-group type	I4/mmm (139)
magnetization	0.000	μB per formula unit
ρ	8.077	g cm⁻³
crystal system	tetragonal


Record 2
VASP calculation (PBE) on LiZn2Ru after structural relaxation.

Unit cell a=3.635 b=3.635 c=17.801 alpha=90.00 beta=90.00 gamma=90.00
Fractional positions:
1 Li 0.000 0.000 0.000
2 Li 0.000 0.500 0.250
3 Li 0.500 0.000 0.750
4 Li 0.500 0.500 0.500
5 Zn 0.245 0.250 0.625
6 Zn 0.250 0.745 0.875
7 Zn 0.250 0.755 0.375
8 Zn 0.255 0.250 0.125
9 Zn 0.745 0.750 0.125
10 Zn 0.750 0.245 0.375
11 Zn 0.750 0.255 0.875
12 Zn 0.755 0.750 0.625
13 Ru 0.000 0.000 0.500
14 Ru 0.000 0.500 0.750
15 Ru 0.500 0.000 0.250
16 Ru 0.500 0.500 0.000

Properties
VASP energy	-3.14	eV per atom
DOS(E_F)	1.46	states/eV/f.u.
space-group type	I-42d (122)
magnetization	0.000	μB per formula unit
ρ	6.743	g cm⁻³
crystal system	tetragonal